Material: Er3As2Se2
Method: DFT, GGA-PBE
State: optimized geometry

abc: 7.7355 7.7355 7.1899
angles: 115.06 115.06 30.30
Closest atoms and distances in Å follow each position.
Element x y z (fractional)
Er 0.0000 0.0000 0.0000  4 As 2.87, 2 Se 2.88
Er 0.2722 0.2722 0.2791  3 Se 2.80-2.91, 3 As 2.87-2.95
Er 0.7278 0.7278 0.7209  3 Se 2.80-2.91, 3 As 2.87-2.95
As 0.3635 0.3635 0.0015  5 Er 2.87-2.95
As 0.6365 0.6365 0.9985  5 Er 2.87-2.95
Se 0.1242 0.1242 0.4396  4 Er 2.80-2.91
Se 0.8758 0.8758 0.5604  4 Er 2.80-2.91

ΔE_f (raw) = -1.404 eV per atom
crystal system = monoclinic
total moment = 0.0 Bohr magnetons per cell
DOS(E_F) = 0.5640 states/eV per atom